Arrangement a

Density functional theory data (SCAN) for a PBEsol-optimized structure of MoOsCl2.

Unit cell a=4.283 b=4.283 c=4.283 alpha=109.48 beta=109.48 gamma=109.45
Element x y z (fractional)
1 Mo 0.500 0.500 0.000
2 Os 0.250 0.750 0.500
3 Cl 0.000 0.000 0.000
4 Cl 0.750 0.250 0.500

Output
As for the theoretical density: 9.80 g cm⁻³. The calculation puts the size of the total moment at 0.00 μB/atom. Its symmetry is No. 119. The crystal system is tetragonal.

Arrangement b

Density functional theory data (SCAN) for a PBEsol-optimized structure of MoOsCl2.

Unit cell a=3.017 b=4.306 c=4.306 alpha=90.00 beta=90.00 gamma=90.00
Element x y z (fractional)
1 Cl 0.000 0.000 0.500
2 Cl 0.000 0.500 0.000
3 Mo 0.500 0.500 0.500
4 Os 0.500 0.000 0.000

Output
As for the theoretical density: 10.60 g cm⁻³. The calculation puts the size of the total moment at 0.00 μB/atom. Its symmetry is No. 123. The crystal system is tetragonal.

Arrangement c

Density functional theory data (SCAN) for a PBEsol-optimized structure of MoOsCl2.

Unit cell a=2.963 b=4.223 c=4.884 alpha=90.00 beta=93.44 gamma=90.00
Element x y z (fractional)
1 Mo 0.500 0.500 0.500
2 Cl 0.255 0.000 0.250
3 Cl 0.745 0.000 0.750
4 Os 0.000 0.500 0.000

Output
As for the theoretical density: 9.72 g cm⁻³. The calculation puts the size of the total moment at 0.00 μB/atom. Its symmetry is No. 10. The crystal system is monoclinic.

Energy above the most stable structure, in eV/atom: arrangement a 0.000; arrangement b 0.564; arrangement c 0.033